Entry 1:
# PBE In3AgCl6, relaxed
# space group	Fm-3m, No. 225
# energy	-3.045	eV per atom
data_In3AgCl6
_space_group_name_H-M_alt 'P 1'
_space_group_IT_number 1
_space_group_name_Hall 'P 1'
_cell_length_a 7.358
_cell_length_b 7.358
_cell_length_c 7.358
_cell_angle_alpha 60.00
_cell_angle_beta 60.00
_cell_angle_gamma 60.00
loop_
_atom_site_label
_atom_site_type_symbol
_atom_site_fract_x
_atom_site_fract_y
_atom_site_fract_z
Cl1 Cl 0.256 0.256 0.744
Cl2 Cl 0.256 0.744 0.256
Cl3 Cl 0.744 0.256 0.256
Cl4 Cl 0.744 0.744 0.256
Cl5 Cl 0.256 0.744 0.744
Cl6 Cl 0.744 0.256 0.744
In1 In 0.250 0.250 0.250
In2 In 0.750 0.750 0.750
In3 In 0.500 0.500 0.500
Ag1 Ag 0.000 0.000 0.000

---

Entry 2:
# PBE MgBeZnNi, relaxed
# space group	F-43m, No. 216
# energy	-3.053	eV per atom
data_MgBeZnNi
_space_group_name_H-M_alt 'P 1'
_space_group_IT_number 1
_space_group_name_Hall 'P 1'
_cell_length_a 4.139
_cell_length_b 4.139
_cell_length_c 4.139
_cell_angle_alpha 60.00
_cell_angle_beta 60.00
_cell_angle_gamma 60.00
loop_
_atom_site_label
_atom_site_type_symbol
_atom_site_fract_x
_atom_site_fract_y
_atom_site_fract_z
Be1 Be 0.750 0.750 0.750
Ni1 Ni 0.500 0.500 0.500
Mg1 Mg 0.250 0.250 0.250
Zn1 Zn 0.000 0.000 0.000

---

Entry 3:
# PBE GdEr2NiSn3Pt2, relaxed
# space group	Amm2, No. 38
# energy	-5.814	eV per atom
data_GdEr2NiSn3Pt2
_space_group_name_H-M_alt 'P 1'
_space_group_IT_number 1
_space_group_name_Hall 'P 1'
_cell_length_a 3.908
_cell_length_b 7.509
_cell_length_c 7.509
_cell_angle_alpha 120.21
_cell_angle_beta 90.00
_cell_angle_gamma 90.00
loop_
_atom_site_label
_atom_site_type_symbol
_atom_site_fract_x
_atom_site_fract_y
_atom_site_fract_z
Sn1 Sn 0.500 0.248 0.999
Sn2 Sn 0.500 0.999 0.248
Sn3 Sn 0.500 0.751 0.751
Gd1 Gd 0.000 0.406 0.406
Pt1 Pt 0.500 0.332 0.670
Pt2 Pt 0.500 0.670 0.332
Er1 Er 0.000 0.595 0.000
Er2 Er 0.000 0.000 0.595
Ni1 Ni 0.000 0.998 0.998

---

What did the third record say?
# PBE GdEr2NiSn3Pt2, relaxed
# space group	Amm2, No. 38
# energy	-5.814	eV per atom
data_GdEr2NiSn3Pt2
_space_group_name_H-M_alt 'P 1'
_space_group_IT_number 1
_space_group_name_Hall 'P 1'
_cell_length_a 3.908
_cell_length_b 7.509
_cell_length_c 7.509
_cell_angle_alpha 120.21
_cell_angle_beta 90.00
_cell_angle_gamma 90.00
loop_
_atom_site_label
_atom_site_type_symbol
_atom_site_fract_x
_atom_site_fract_y
_atom_site_fract_z
Sn1 Sn 0.500 0.248 0.999
Sn2 Sn 0.500 0.999 0.248
Sn3 Sn 0.500 0.751 0.751
Gd1 Gd 0.000 0.406 0.406
Pt1 Pt 0.500 0.332 0.670
Pt2 Pt 0.500 0.670 0.332
Er1 Er 0.000 0.595 0.000
Er2 Er 0.000 0.000 0.595
Ni1 Ni 0.000 0.998 0.998

---

> Among the records above, which one has the lowest energy?

GdEr2NiSn3Pt2

---

> What is the formula in the third record?

GdEr2NiSn3Pt2